[1]
A relaxed structure of RbTlTeCl6. Source: Alexandria via LeMat-Bulk, functional PBE.

a = 7.8755 Å, b = 7.8755 Å, c = 12.2704 Å
α = 90.00°, β = 90.00°, γ = 120.00°
Space group P-31c (No. 163)
Symmetry-distinct sites (fractional):
Rb 0.3333 0.6667 0.2500
Tl 0.0000 0.0000 0.0000
Te 0.3333 0.6667 0.7500
Cl 0.0704 0.3959 0.6287

## Properties
The uncorrected formation energy comes out at -1.03 eV/atom. Its size of the total moment is 0.0 μB/f.u. For the electronic total energy, the calculation gives -2.98 eV/atom.

[2]
A relaxed structure of La5Pm2SmSc. Source: Alexandria via LeMat-Bulk, functional PBE.

a = 8.731 Å, b = 8.731 Å, c = 8.396 Å
α = 90.00°, β = 90.00°, γ = 90.00°
Space group P4/mbm (No. 127)
Symmetry-distinct sites (fractional):
La 0.000 0.000 0.000
La 0.214 0.286 0.286
Pm 0.120 0.620 0.000
Sm 0.000 0.000 0.500
Sc 0.000 0.500 0.500

## Properties
The formation energy is 0.270 eV per atom. Its size of the total moment is 0.0 μB/f.u. For the electronic total energy, the calculation gives -4.75 eV/atom.

Q: The lowest electronic total energy belongs to which entry?
A: La5Pm2SmSc

Q: The lowest electronic total energy belongs to which entry?
A: La5Pm2SmSc